Record 1
# DyYHo14 (GGA-PBE, optimized geometry)
data_DyYHo14
_chemical_formula_sum 'Dy2 Y2 Ho28'
_cell_length_a 11.397
_cell_length_b 7.092
_cell_length_c 12.281
_cell_angle_alpha 90.00
_cell_angle_beta 90.00
_cell_angle_gamma 90.00
_space_group_name_H-M_alt 'A m m 2'
_space_group_IT_number 38
_space_group_name_Hall 'A 2 -2'
loop_
_atom_site_label
_atom_site_fract_x
_atom_site_fract_y
_atom_site_fract_z
Dy1 0.000 0.000 0.000
Y1 0.000 0.000 0.500
Ho1 0.000 0.250 0.250
Ho2 0.250 0.000 0.167
Ho3 0.251 0.000 0.667
Ho4 0.251 0.250 0.417
Ho5 0.500 0.000 0.334
Ho6 0.500 0.000 0.834
Ho7 0.500 0.250 0.084
# Total magnetization, μB/cell: 0.000
# DOS at the Fermi energy, states/eV/cell: 40.19
# Formation enthalpy at 0 K, meV/atom: 4

=====

Record 2
# Dy6Y3Ho2 (GGA-PBE, optimized geometry)
data_Dy6Y3Ho2
_chemical_formula_sum 'Dy12 Y6 Ho4'
_cell_length_a 4.722
_cell_length_b 4.722
_cell_length_c 33.041
_cell_angle_alpha 90.00
_cell_angle_beta 90.00
_cell_angle_gamma 90.00
_space_group_name_H-M_alt 'I 4/m m m'
_space_group_IT_number 139
_space_group_name_Hall '-I 4 2'
loop_
_atom_site_label
_atom_site_fract_x
_atom_site_fract_y
_atom_site_fract_z
Dy1 0.000 0.000 0.194
Dy2 0.000 0.500 0.120
Y1 0.000 0.000 0.298
Y2 0.000 0.000 0.500
Ho1 0.000 0.000 0.046
# Energy relative to the lowest polymorph listed for this composition, eV per atom: 0.260
# Total magnetization, μB/cell: 0.000
# DOS at the Fermi energy, states/eV/cell: 33.98
# Formation enthalpy at 0 K, meV/atom: 281

=====

Record 3
# Dy6Y4Ho19 (GGA-PBE, optimized geometry)
data_Dy6Y4Ho19
_chemical_formula_sum 'Dy12 Y8 Ho38'
_cell_length_a 12.408
_cell_length_b 12.408
_cell_length_c 12.408
_cell_angle_alpha 90.00
_cell_angle_beta 90.00
_cell_angle_gamma 90.00
_space_group_name_H-M_alt 'I 2 3'
_space_group_IT_number 197
_space_group_name_Hall 'I 2 2 3'
loop_
_atom_site_label
_atom_site_fract_x
_atom_site_fract_y
_atom_site_fract_z
Dy1 0.000 0.128 0.500
Y1 0.179 0.179 0.179
Ho1 0.000 0.000 0.000
Ho2 0.000 0.000 0.261
Ho3 0.063 0.277 0.739
# Total magnetization, μB/cell: 0.003
# DOS at the Fermi energy, states/eV/cell: 91.58
# Formation enthalpy at 0 K, meV/atom: 396

=====

Record 4
# Dy3Y7Ho2 (GGA-PBE, optimized geometry)
data_Dy3Y7Ho2
_chemical_formula_sum 'Dy3 Y7 Ho2'
_cell_length_a 5.796
_cell_length_b 3.573
_cell_length_c 18.661
_cell_angle_alpha 90.00
_cell_angle_beta 93.49
_cell_angle_gamma 90.00
_space_group_name_H-M_alt 'P 1 2/m 1'
_space_group_IT_number 10
_space_group_name_Hall '-P 2y'
loop_
_atom_site_label
_atom_site_fract_x
_atom_site_fract_y
_atom_site_fract_z
Dy1 0.000 0.000 0.000
Dy2 0.280 0.500 0.633
Y1 0.183 0.500 0.144
Y2 0.242 0.000 0.463
Y3 0.313 0.000 0.820
Y4 0.500 0.500 0.000
Ho1 0.207 0.000 0.295
# Energy relative to the lowest polymorph listed for this composition, eV per atom: 0.010
# Total magnetization, μB/cell: 0.000
# DOS at the Fermi energy, states/eV/cell: 16.49
# Formation enthalpy at 0 K, meV/atom: 92

=====

Record 5
# Dy4YHo7 (GGA-PBE, optimized geometry)
data_Dy4YHo7
_chemical_formula_sum 'Dy8 Y2 Ho14'
_cell_length_a 12.017
_cell_length_b 5.837
_cell_length_c 12.623
_cell_angle_alpha 90.00
_cell_angle_beta 118.30
_cell_angle_gamma 90.00
_space_group_name_H-M_alt 'C 1 2/m 1'
_space_group_IT_number 12
_space_group_name_Hall '-C 2y'
loop_
_atom_site_label
_atom_site_fract_x
_atom_site_fract_y
_atom_site_fract_z
Dy1 0.136 0.000 0.275
Dy2 0.246 0.500 0.182
Y1 0.000 0.500 0.500
Ho1 0.000 0.000 0.500
Ho2 0.060 0.500 0.824
Ho3 0.134 0.000 0.001
Ho4 0.213 0.500 0.423
# Energy relative to the lowest polymorph listed for this composition, eV per atom: 0.202
# Total magnetization, μB/cell: 0.669
# DOS at the Fermi energy, states/eV/cell: 40.59
# Formation enthalpy at 0 K, meV/atom: 291

=====

Record 6
# Dy2Y3Ho2 (GGA-PBE, optimized geometry)
data_Dy2Y3Ho2
_chemical_formula_sum 'Dy4 Y6 Ho4'
_cell_length_a 3.536
_cell_length_b 5.470
_cell_length_c 23.129
_cell_angle_alpha 90.00
_cell_angle_beta 90.00
_cell_angle_gamma 90.00
_space_group_name_H-M_alt 'I m m m'
_space_group_IT_number 71
_space_group_name_Hall '-I 2 2'
loop_
_atom_site_label
_atom_site_fract_x
_atom_site_fract_y
_atom_site_fract_z
Dy1 0.000 0.000 0.141
Y1 0.000 0.000 0.000
Y2 0.000 0.500 0.224
Ho1 0.000 0.000 0.421
# Energy relative to the lowest polymorph listed for this composition, eV per atom: 0.000
# Total magnetization, μB/cell: 0.001
# DOS at the Fermi energy, states/eV/cell: 26.86
# Formation enthalpy at 0 K, meV/atom: 47

=====

Record 7
# Dy4YHo2 (GGA-PBE, optimized geometry)
data_Dy4YHo2
_chemical_formula_sum 'Dy8 Y2 Ho4'
_cell_length_a 6.024
_cell_length_b 8.414
_cell_length_c 9.843
_cell_angle_alpha 84.81
_cell_angle_beta 72.40
_cell_angle_gamma 69.07
_space_group_name_H-M_alt 'P 1'
_space_group_IT_number 1
_space_group_name_Hall 'P 1'
loop_
_atom_site_label
_atom_site_fract_x
_atom_site_fract_y
_atom_site_fract_z
Dy1 0.000 0.000 0.000
Dy2 0.032 0.070 0.641
Dy3 0.075 0.567 0.144
Dy4 0.608 0.354 0.212
Dy5 0.647 0.857 0.708
Dy6 0.684 0.927 0.352
Dy7 0.823 0.497 0.500
Dy8 0.861 0.424 0.853
Y1 0.256 0.642 0.780
Y2 0.541 0.782 0.072
Ho1 0.144 0.141 0.278
Ho2 0.242 0.712 0.426
Ho3 0.422 0.282 0.574
Ho4 0.442 0.212 0.926
# Energy relative to the lowest polymorph listed for this composition, eV per atom: 0.040
# Total magnetization, μB/cell: 0.000
# DOS at the Fermi energy, states/eV/cell: 23.00
# Formation enthalpy at 0 K, meV/atom: 78

=====

Record 8
# Dy12Y6Ho (GGA-PBE, optimized geometry)
data_Dy12Y6Ho
_chemical_formula_sum 'Dy36 Y18 Ho3'
_cell_length_a 13.1434
_cell_length_b 13.1434
_cell_length_c 12.6302
_cell_angle_alpha 90.00
_cell_angle_beta 90.00
_cell_angle_gamma 120.00
_space_group_name_H-M_alt 'R -3 m'
_space_group_IT_number 166
_space_group_name_Hall '-R 3 2"'
loop_
_atom_site_label
_atom_site_fract_x
_atom_site_fract_y
_atom_site_fract_z
Dy1 0.0000 0.2571 0.0000
Dy2 0.0911 0.1823 0.7643
Y1 0.0393 0.5197 0.1196
Ho1 0.0000 0.0000 0.5000
# Energy relative to the lowest polymorph listed for this composition, eV per atom: 0.039
# Total magnetization, μB/cell: 0.007
# DOS at the Fermi energy, states/eV/cell: 103.83
# Formation enthalpy at 0 K, meV/atom: 215